Entry 1:
A plane-wave DFT calculation with PBE was carried out for an optimized crystal structure of BeCoRe.

a b c (Å): 2.672 6.437 3.846
angles (deg): 90.01 90.00 89.99
Positions (direct):
Be1 0.278 0.500 0.042
Be2 0.278 0.706 0.543
Co1 0.778 0.216 0.043
Co2 0.778 0.443 0.543
Re1 0.279 0.079 0.543
Re2 0.778 0.828 0.043

## Properties
formation energy from the elements: -9 kJ/mol of atoms
energy above the most stable polymorph in this dataset: 0.52 eV/f.u.

Entry 2:
A plane-wave DFT calculation with PBE was carried out for an optimized crystal structure of BeCoReRu.

a b c (Å): 4.131 4.131 4.131
angles (deg): 60.00 60.00 60.00
Last column: magnetic moment on the atom in μB.
Positions (direct):
Re1 0.750 0.750 0.750  0.34
Co1 0.500 0.500 0.500  1.39
Be1 0.250 0.250 0.250  -0.02
Ru1 0.000 0.000 0.000  0.07

## Properties
formation energy from the elements: 4 kJ/mol of atoms

Entry 3:
A plane-wave DFT calculation with PBE was carried out for an optimized crystal structure of Sc2Be2Co5Re.

a b c (Å): 3.184 8.713 8.713
angles (deg): 90.00 90.00 90.00
Positions (direct):
Sc1 0.000 0.676 0.176
Sc2 0.000 0.324 0.824
Sc3 0.000 0.176 0.324
Sc4 0.000 0.824 0.676
Be1 0.000 0.117 0.617
Be2 0.000 0.883 0.383
Be3 0.000 0.617 0.883
Be4 0.000 0.383 0.117
Co1 0.500 0.210 0.067
Co2 0.500 0.790 0.933
Co3 0.500 0.067 0.790
Co4 0.500 0.710 0.433
Co5 0.500 0.933 0.210
Co6 0.500 0.290 0.567
Co7 0.500 0.567 0.710
Co8 0.500 0.433 0.290
Co9 0.500 0.500 0.000
Co10 0.500 0.000 0.500
Re1 0.000 0.000 0.000
Re2 0.000 0.500 0.500

## Properties
formation energy from the elements: -25 kJ/mol of atoms

Number 1: final energy -7.852 eV per atom. Number 2: final energy -8.101 eV per atom. Number 3: final energy -7.069 eV per atom.